LiNiI6 (PBE, optimized geometry); DOS at the Fermi energy = 2.61 states/eV/cell; ΔE_f (raw) = -2.1 eV/f.u.; SG = P-1, No. 2
1.0
-0.823 2.007 -7.861
-7.541 -0.430 -3.066
-5.426 4.510 1.991
Li I Ni
1 6 1
Direct
0.500 0.500 0.500
0.195 0.957 0.324
0.928 0.656 0.249
0.805 0.043 0.676
0.344 0.694 0.032
0.656 0.306 0.968
0.072 0.344 0.751
0.000 0.000 0.000